(1)
A plane-wave DFT calculation with PBE was carried out for a geometry-optimized Tm12Ga6Bi structure.

abc: 8.636 8.636 8.636
angles: 109.47 109.47 109.47
Element x y z (fractional)
Tm1 0.297 0.108 0.811
Tm2 0.297 0.486 0.189
Tm3 0.703 0.514 0.811
Tm4 0.703 0.892 0.189
Tm5 0.108 0.811 0.297
Tm6 0.486 0.189 0.297
Tm7 0.514 0.811 0.703
Tm8 0.892 0.189 0.703
Tm9 0.811 0.297 0.108
Tm10 0.189 0.297 0.486
Tm11 0.811 0.703 0.514
Tm12 0.189 0.703 0.892
Ga1 0.378 0.500 0.878
Ga2 0.622 0.500 0.122
Ga3 0.500 0.878 0.378
Ga4 0.500 0.122 0.622
Ga5 0.878 0.378 0.500
Ga6 0.122 0.622 0.500
Bi1 0.000 0.000 0.000

**Total moment**: 0.0 μB/f.u.
**Total energy**: -4.361 eV/atom
**Space group**: Im-3
**DFT formation energy**: -0.377 eV/atom



(2)
A plane-wave DFT calculation with PBE was carried out for a geometry-optimized Tm4GaBi structure.

abc: 6.136 8.563 7.915
angles: 114.02 101.59 110.20
Element x y z (fractional)
Tm1 0.059 0.198 0.820
Tm2 0.774 0.715 0.637
Tm3 0.261 0.622 0.820
Tm4 0.363 0.922 0.637
Tm5 0.637 0.078 0.363
Tm6 0.739 0.378 0.180
Tm7 0.226 0.285 0.363
Tm8 0.941 0.802 0.180
Ga1 0.251 0.001 0.002
Ga2 0.749 0.999 0.998
Bi1 0.364 0.614 0.228
Bi2 0.636 0.386 0.772

**Total moment**: 0.0 μB/f.u.
**Energy relative to the lowest polymorph listed for this composition**: 0.00 kcal/mol of atoms
**Total energy**: -4.576 eV/atom
**Space group**: C2/c
**DFT formation energy**: -0.444 eV/atom



(3)
A plane-wave DFT calculation with PBE was carried out for a geometry-optimized Tm8Ga3Bi2 structure.

abc: 4.915 9.952 8.986
angles: 123.63 89.99 90.00
Element x y z (fractional)
Tm1 0.000 0.610 0.220
Tm2 0.000 0.390 0.780
Tm3 0.000 0.117 0.234
Tm4 0.000 0.883 0.766
Tm5 0.500 0.643 0.772
Tm6 0.500 0.129 0.772
Tm7 0.500 0.871 0.228
Tm8 0.500 0.357 0.228
Ga1 0.500 0.000 0.000
Ga2 0.000 0.258 0.000
Ga3 0.000 0.742 0.000
Bi1 0.500 0.260 0.519
Bi2 0.500 0.740 0.481

**Total moment**: 0.0 μB/f.u.
**Total energy**: -4.415 eV/atom
**Space group**: Cmmm
**DFT formation energy**: -0.368 eV/atom



(4)
A plane-wave DFT calculation with PBE was carried out for a geometry-optimized Tm4Ga2Bi structure.

abc: 8.071 8.058 8.045
angles: 109.31 109.36 109.72
Element x y z (fractional)
Tm1 0.925 0.247 0.322
Tm2 0.326 0.503 0.178
Tm3 0.925 0.603 0.678
Tm4 0.753 0.076 0.678
Tm5 0.397 0.074 0.321
Tm6 0.325 0.147 0.821
Tm7 0.497 0.674 0.822
Tm8 0.853 0.676 0.178
Ga1 0.625 0.375 0.750
Ga2 0.625 0.875 0.250
Ga3 0.625 0.375 0.250
Ga4 0.125 0.375 0.750
Bi1 0.250 0.750 0.500
Bi2 0.000 0.000 0.000

**Total moment**: 0.0 μB/f.u.
**Total energy**: -4.326 eV/atom
**Space group**: P-1
**DFT formation energy**: -0.352 eV/atom



(5)
A plane-wave DFT calculation with PBE was carried out for a geometry-optimized Tm5GaBi4 structure.

abc: 6.193 7.581 7.581
angles: 80.40 65.89 65.89
Element x y z (fractional)
Tm1 0.901 0.387 0.813
Tm2 0.288 0.813 0.613
Tm3 0.714 0.187 0.387
Tm4 0.101 0.613 0.187
Tm5 0.502 0.000 0.000
Ga1 0.002 0.000 0.000
Bi1 0.407 0.396 0.790
Bi2 0.804 0.790 0.604
Bi3 0.198 0.210 0.396
Bi4 0.594 0.604 0.210

**Total moment**: 0.0 μB/f.u.
**Total energy**: -4.723 eV/atom
**Space group**: I4
**DFT formation energy**: -0.632 eV/atom



(6)
A plane-wave DFT calculation with PBE was carried out for a geometry-optimized Tm5GaBi2 structure.

abc: 5.688 7.952 13.269
angles: 90.00 90.00 110.96
Element x y z (fractional)
Tm1 0.921 0.842 0.886
Tm2 0.921 0.842 0.614
Tm3 0.312 0.623 0.461
Tm4 0.312 0.623 0.039
Tm5 0.699 0.399 0.250
Tm6 0.301 0.601 0.750
Tm7 0.688 0.377 0.539
Tm8 0.688 0.377 0.961
Tm9 0.079 0.158 0.114
Tm10 0.079 0.158 0.386
Ga1 0.777 0.554 0.750
Ga2 0.223 0.446 0.250
Bi1 0.869 0.738 0.393
Bi2 0.869 0.738 0.107
Bi3 0.131 0.262 0.607
Bi4 0.131 0.262 0.893

**Total moment**: 0.0 μB/f.u.
**Total energy**: -4.282 eV/atom
**Space group**: Cmcm
**DFT formation energy**: -0.138 eV/atom



(7)
A plane-wave DFT calculation with PBE was carried out for a geometry-optimized Tm2GaBi structure.

abc: 3.884 3.884 6.747
angles: 90.00 90.00 90.00
Element x y z (fractional)
Tm1 0.000 0.000 0.759
Tm2 0.000 0.000 0.241
Bi1 0.500 0.500 0.500
Ga1 0.500 0.500 0.000

**Total moment**: 0.0 μB/f.u.
**Energy relative to the lowest polymorph listed for this composition**: 0.00 kcal/mol of atoms
**Total energy**: -4.449 eV/atom
**Space group**: P4/mmm
**DFT formation energy**: -0.486 eV/atom



(8)
A plane-wave DFT calculation with PBE was carried out for a geometry-optimized Tm4GaBi structure.

abc: 9.776 9.776 9.776
angles: 60.00 60.00 60.00
Element x y z (fractional)
Tm1 0.362 0.362 0.362
Tm2 0.914 0.362 0.362
Tm3 0.362 0.914 0.362
Tm4 0.362 0.362 0.914
Tm5 0.560 0.560 0.940
Tm6 0.940 0.940 0.560
Tm7 0.560 0.940 0.560
Tm8 0.940 0.560 0.940
Tm9 0.940 0.560 0.560
Tm10 0.560 0.940 0.940
Tm11 0.187 0.187 0.813
Tm12 0.813 0.813 0.187
Tm13 0.187 0.813 0.187
Tm14 0.813 0.187 0.813
Tm15 0.813 0.187 0.187
Tm16 0.187 0.813 0.813
Ga1 0.146 0.146 0.146
Ga2 0.562 0.146 0.146
Ga3 0.146 0.562 0.146
Ga4 0.146 0.146 0.562
Bi1 0.595 0.595 0.595
Bi2 0.216 0.595 0.595
Bi3 0.595 0.216 0.595
Bi4 0.595 0.595 0.216

**Total moment**: 0.0 μB/f.u.
**Energy relative to the lowest polymorph listed for this composition**: 0.16 kcal/mol of atoms
**Total energy**: -4.569 eV/atom
**Space group**: F-43m
**DFT formation energy**: -0.437 eV/atom



(9)
A plane-wave DFT calculation with PBE was carried out for a geometry-optimized Tm2GaBi structure.

abc: 4.177 4.177 7.772
angles: 89.83 105.69 120.16
Element x y z (fractional)
Tm1 0.506 0.253 0.759
Tm2 0.494 0.747 0.241
Ga1 0.000 0.000 0.000
Bi1 0.000 0.500 0.500

**Total moment**: 0.0 μB/f.u.
**Energy relative to the lowest polymorph listed for this composition**: 0.26 kcal/mol of atoms
**Total energy**: -4.438 eV/atom
**Space group**: C2/m
**DFT formation energy**: -0.475 eV/atom



(10)
A plane-wave DFT calculation with PBE was carried out for a geometry-optimized UGaBi structure.

abc: 3.134 5.259 5.259
angles: 120.00 90.00 90.00
Site moments in Bohr magnetons follow the coordinates.
Element x y z (fractional)
U1 0.666 0.333 0.667  2.77
Bi1 0.165 0.000 0.000  -0.04
Ga1 0.169 0.667 0.333  0.00

**Total moment**: 3.1 μB/f.u.
**Energy relative to the lowest polymorph listed for this composition**: 0.00 kcal/mol of atoms
**Total energy**: -5.884 eV/atom
**Space group**: P3m1
**DFT formation energy**: 0.182 eV/atom



(11)
A plane-wave DFT calculation with PBE was carried out for a geometry-optimized UGaBi structure.

abc: 3.231 3.231 16.313
angles: 90.00 90.00 120.00
Site moments in Bohr magnetons follow the coordinates.
Element x y z (fractional)
Ga1 0.333 0.667 0.638  0.00
Ga2 0.667 0.333 0.138  0.00
Bi1 0.000 0.000 0.965  -0.02
Bi2 0.000 0.000 0.465  -0.02
U1 0.333 0.667 0.288  2.00
U2 0.667 0.333 0.788  2.00

**Total moment**: 2.2 μB/f.u.
**Energy relative to the lowest polymorph listed for this composition**: 0.76 kcal/mol of atoms
**Total energy**: -5.851 eV/atom
**Space group**: P6_3mc
**DFT formation energy**: 0.215 eV/atom



(12)
A plane-wave DFT calculation with PBE was carried out for a geometry-optimized UGa4Bi structure.

abc: 5.623 5.623 5.623
angles: 60.00 60.00 60.00
Site moments in Bohr magnetons follow the coordinates.
Element x y z (fractional)
U1 0.000 0.000 0.000  2.58
Bi1 0.250 0.250 0.250  0.05
Ga1 0.625 0.625 0.124  0.01
Ga2 0.625 0.124 0.625  0.01
Ga3 0.625 0.625 0.625  0.01
Ga4 0.124 0.625 0.625  0.01

**Total moment**: 3.1 μB/f.u.
**Total energy**: -4.495 eV/atom
**Space group**: F-43m
**DFT formation energy**: 0.051 eV/atom



(13)
A plane-wave DFT calculation with PBE was carried out for a geometry-optimized V2GaBi2 structure.

abc: 8.431 8.431 3.345
angles: 90.00 90.00 90.00
Element x y z (fractional)
Bi1 0.315 0.815 0.000
Bi2 0.815 0.685 0.000
Bi3 0.685 0.185 0.000
Bi4 0.185 0.315 0.000
Ga1 0.000 0.000 0.000
Ga2 0.500 0.500 0.000
V1 0.083 0.583 0.500
V2 0.583 0.917 0.500
V3 0.917 0.417 0.500
V4 0.417 0.083 0.500

**Total moment**: 0.0 μB/f.u.
**Energy relative to the lowest polymorph listed for this composition**: 4.21 kcal/mol of atoms
**Total energy**: -5.302 eV/atom
**Space group**: P4/mbm
**DFT formation energy**: 0.503 eV/atom



(14)
A plane-wave DFT calculation with PBE was carried out for a geometry-optimized V2GaBi2 structure.

abc: 3.559 3.559 9.234
angles: 78.89 78.89 90.00
Element x y z (fractional)
Bi1 0.380 0.380 0.241
Bi2 0.620 0.620 0.759
Ga1 0.000 0.000 0.000
V1 0.750 0.250 0.500
V2 0.250 0.750 0.500

**Total moment**: 0.0 μB/f.u.
**Energy relative to the lowest polymorph listed for this composition**: 0.00 kcal/mol of atoms
**Total energy**: -5.485 eV/atom
**Space group**: I4/mmm
**DFT formation energy**: 0.320 eV/atom



(15)
A plane-wave DFT calculation with PBE was carried out for a geometry-optimized V3GaBi structure.

abc: 5.211 5.211 5.211
angles: 90.00 90.00 90.00
Site moments in Bohr magnetons follow the coordinates.
Element x y z (fractional)
Bi1 0.000 0.000 0.000  -0.08
Ga1 0.500 0.500 0.500  0.00
V1 0.000 0.500 0.000  2.70
V2 0.000 0.000 0.500  2.70
V3 0.500 0.000 0.000  2.70

**Total moment**: 9.6 μB/f.u.
**Energy relative to the lowest polymorph listed for this composition**: 17.06 kcal/mol of atoms
**Total energy**: -5.254 eV/atom
**Space group**: Pm-3m
**DFT formation energy**: 1.599 eV/atom



(16)
A plane-wave DFT calculation with PBE was carried out for a geometry-optimized VGa2Bi structure.

abc: 7.877 7.877 6.239
angles: 50.86 50.86 90.00
Site moments in Bohr magnetons follow the coordinates.
Element x y z (fractional)
Bi1 0.000 0.000 0.000  -0.11
Bi2 0.750 0.250 0.500  -0.11
Ga1 0.595 0.125 0.250  0.02
Ga2 0.155 0.625 0.250  0.02
Ga3 0.375 0.405 0.750  0.02
Ga4 0.875 0.845 0.750  0.02
V1 0.500 0.500 0.000  2.27
V2 0.250 0.750 0.500  2.27

**Total moment**: 2.6 μB/f.u.
**Total energy**: -4.368 eV/atom
**Space group**: I-42d
**DFT formation energy**: 0.395 eV/atom



(17)
A plane-wave DFT calculation with PBE was carried out for a geometry-optimized VGaBi structure.

abc: 5.318 5.405 5.553
angles: 76.37 61.39 60.53
Element x y z (fractional)
V1 0.750 0.500 0.500
V2 0.250 0.500 0.500
Bi1 0.842 0.317 0.000
Bi2 0.158 0.683 0.000
Ga1 0.699 0.000 0.602
Ga2 0.301 0.000 0.398

**Total moment**: 0.0 μB/f.u.
**Total energy**: -5.250 eV/atom
**Space group**: Fmmm
**DFT formation energy**: 0.092 eV/atom



(18)
A plane-wave DFT calculation with PBE was carried out for a geometry-optimized VGa2Bi2 structure.

abc: 7.397 7.397 4.810
angles: 90.00 90.00 90.00
Site moments in Bohr magnetons follow the coordinates.
Element x y z (fractional)
Bi1 0.348 0.848 0.000  -0.07
Bi2 0.848 0.652 0.000  -0.07
Bi3 0.652 0.152 0.000  -0.07
Bi4 0.152 0.348 0.000  -0.07
Ga1 0.160 0.660 0.500  0.00
Ga2 0.660 0.840 0.500  0.00
Ga3 0.840 0.340 0.500  0.00
Ga4 0.340 0.160 0.500  0.00
V1 0.000 0.000 0.000  2.46
V2 0.500 0.500 0.000  2.46

**Total moment**: 2.8 μB/f.u.
**Energy relative to the lowest polymorph listed for this composition**: 3.31 kcal/mol of atoms
**Total energy**: -4.187 eV/atom
**Space group**: P4/mbm
**DFT formation energy**: 0.400 eV/atom



(19)
A plane-wave DFT calculation with PBE was carried out for a geometry-optimized V3GaBi structure.

abc: 4.718 4.718 4.718
angles: 90.00 90.00 90.00
Site moments in Bohr magnetons follow the coordinates.
Element x y z (fractional)
Bi1 0.500 0.500 0.500  -0.19
Ga1 0.000 0.000 0.000  -0.04
V1 0.000 0.500 0.000  2.03
V2 0.000 0.000 0.500  2.03
V3 0.500 0.000 0.000  2.03

**Total moment**: 6.9 μB/f.u.
**Energy relative to the lowest polymorph listed for this composition**: 0.00 kcal/mol of atoms
**Total energy**: -5.994 eV/atom
**Space group**: Pm-3m
**DFT formation energy**: 0.859 eV/atom



(20)
A plane-wave DFT calculation with PBE was carried out for a geometry-optimized V2Ga4Bi structure.

abc: 5.342 5.342 7.562
angles: 69.32 69.32 90.00
Element x y z (fractional)
Bi1 0.000 0.000 0.000
Ga1 0.774 0.774 0.452
Ga2 0.226 0.226 0.548
Ga3 0.000 0.500 0.000
Ga4 0.500 0.000 0.000
V1 0.573 0.573 0.855
V2 0.427 0.427 0.145

**Total moment**: 0.0 μB/f.u.
**Total energy**: -4.103 eV/atom
**Space group**: I4/mmm
**DFT formation energy**: 0.787 eV/atom